Record 1
A plane-wave DFT calculation with PBE was carried out for an optimized crystal structure of BaHo2US8.

Lattice parameters (Å, degrees): 6.371 6.015 8.965 89.76 89.90 89.50
Positions (direct):
S 0.852 0.241 0.792
S 0.542 0.671 0.500
S 0.849 0.238 0.207
Ho 0.500 0.502 0.210
U 0.000 0.000 0.000
S 0.665 0.750 0.998
S 0.151 0.762 0.793
S 0.458 0.329 0.500
Ba 0.000 0.000 0.500
Ho 0.500 0.498 0.790
S 0.148 0.759 0.208
S 0.335 0.250 0.002

Values from the calculation:
Spin magnetization   0.00 μB per formula unit

---

Record 2
A plane-wave DFT calculation with PBE was carried out for an optimized crystal structure of Pm6Ni2SI3.

Lattice parameters (Å, degrees): 7.222 7.222 8.126 98.51 98.51 119.87
Positions (direct):
Pm 0.589 0.938 0.815
Pm 0.411 0.062 0.185
I 0.837 0.163 0.500
Ni 0.333 0.667 0.000
Pm 0.938 0.589 0.815
S 0.000 0.000 0.000
Pm 0.712 0.712 0.184
Pm 0.288 0.288 0.816
Pm 0.062 0.411 0.185
I 0.500 0.500 0.500
Ni 0.667 0.333 0.000
I 0.163 0.837 0.500

Values from the calculation:
Spin magnetization   0.00 μB per formula unit

---

Record 3
A plane-wave DFT calculation with PBE was carried out for an optimized crystal structure of TiNiSbPd.

Lattice parameters (Å, degrees): 4.480 4.480 4.480 60.00 60.00 60.00
Positions (direct):
Sb 0.000 0.000 0.000
Ni 0.250 0.250 0.250
Ti 0.500 0.500 0.500
Pd 0.750 0.750 0.750

Values from the calculation:
Spin magnetization   0.00 μB per formula unit

---

Record 4
A plane-wave DFT calculation with PBE was carried out for an optimized crystal structure of ScGeN.

Lattice parameters (Å, degrees): 3.591 3.591 9.634 79.26 79.26 60.00
Positions (direct):
Sc 0.626 0.626 0.123
N 0.703 0.703 0.892
Sc 0.374 0.374 0.877
Ge 0.137 0.137 0.589
N 0.297 0.297 0.108
Ge 0.863 0.863 0.411

Values from the calculation:
Spin magnetization   0.00 μB per formula unit

---

Record 5
A plane-wave DFT calculation with PBE was carried out for an optimized crystal structure of NbBi2IrRu.

Lattice parameters (Å, degrees): 5.160 4.691 5.160 90.00 90.00 90.00
Positions (direct):
Ru 0.000 0.000 0.000
Bi 0.500 0.000 0.000
Nb 0.500 0.500 0.500
Bi 0.000 0.000 0.500
Ir 0.000 0.500 0.000

Values from the calculation:
Spin magnetization   0.00 μB per formula unit
Formation energy from the elements   1.329 eV/atom

---

Record 6
A plane-wave DFT calculation with PBE was carried out for an optimized crystal structure of CsBa2I4.

Lattice parameters (Å, degrees): 5.093 8.708 17.316 90.00 90.00 107.00
Positions (direct):
I 0.234 0.467 0.886
Ba 0.874 0.748 0.562
Ba 0.126 0.252 0.438
I 0.766 0.533 0.114
I 0.234 0.467 0.614
I 0.054 0.108 0.250
Ba 0.874 0.748 0.938
I 0.766 0.533 0.386
Ba 0.126 0.252 0.062
I 0.500 0.000 0.500
Cs 0.620 0.240 0.750
I 0.946 0.892 0.750
I 0.500 0.000 0.000
Cs 0.380 0.760 0.250

Values from the calculation:
Energy relative to the lowest polymorph listed for this composition   0.0 meV/atom
Spin magnetization   0.00 μB per formula unit

---

Ordered E results: -72.69 -60.12 -24.47 -43.33 -29.32 -43.57; unit eV for the cell shown.